The following is a DFT calculation (PBE) of a geometry-optimized TbTiAlZn structure.

Properties
energy relative to the elements	-0.21	eV/atom
M_tot	0.00	Bohr magnetons per cell
space group	No. 216

abc: 4.7919 4.7919 4.7919
angles: 60.00 60.00 60.00
Last column: nearest neighbours and their distance in Å.
Atoms (fractional coordinates):
Tb1 0.7500 0.7500 0.7500  4 Zn 2.93, 4 Al 2.93
Ti1 0.2500 0.2500 0.2500  4 Al 2.93, 4 Zn 2.93
Zn1 0.5000 0.5000 0.5000  4 Tb 2.93, 4 Ti 2.93
Al1 0.0000 0.0000 0.0000  4 Tb 2.93, 4 Ti 2.93

=====

The following is a DFT calculation (PBE) of a geometry-optimized RbAs3P structure.

Properties
energy relative to the elements	2.20	eV/atom
ΔE to the lowest computed polymorph	2366.2	meV/atom
M_tot	0.00	Bohr magnetons per cell
space group	No. 221

abc: 5.5257 5.5257 5.5257
angles: 90.00 90.00 90.00
Last column: nearest neighbours and their distance in Å.
Atoms (fractional coordinates):
Rb1 0.0000 0.0000 0.0000  6 As 2.76
As1 0.0000 0.5000 0.0000  2 Rb 2.76
As2 0.0000 0.0000 0.5000  2 Rb 2.76
As3 0.5000 0.0000 0.0000  2 Rb 2.76
P1 0.5000 0.5000 0.5000  12 As 3.91

=====

The following is a DFT calculation (PBE) of a geometry-optimized CsLiCaZr2 structure.

Properties
energy relative to the elements	1.56	eV/atom
M_tot	0.00	Bohr magnetons per cell
space group	No. 123

abc: 5.4436 6.4653 5.4436
angles: 90.00 90.00 90.00
Last column: nearest neighbours and their distance in Å.
Atoms (fractional coordinates):
Zr1 0.5000 0.0000 0.0000  2 Ca 2.72
Zr2 0.0000 0.0000 0.5000  2 Ca 2.72
Ca1 0.0000 0.0000 0.0000  4 Zr 2.72
Li1 0.5000 0.5000 0.5000  4 Cs 3.85, 8 Zr 4.23
Cs1 0.0000 0.5000 0.0000  2 Ca 3.23

=====

The following is a DFT calculation (PBE) of a geometry-optimized SrCa2Mg structure.

Properties
energy relative to the elements	0.21	eV/atom
M_tot	0.00	Bohr magnetons per cell
space group	No. 122

abc: 5.0426 5.0426 13.4456
angles: 79.19 79.19 90.00
Last column: nearest neighbours and their distance in Å.
Atoms (fractional coordinates):
Ca1 0.1409 0.6250 0.2500  4 Ca 3.45-3.68, 2 Mg 3.67, 2 Sr 3.73
Ca2 0.6091 0.1250 0.2500  4 Ca 3.45-3.68, 2 Mg 3.67, 2 Sr 3.73
Ca3 0.3750 0.3909 0.7500  4 Ca 3.45-3.68, 2 Mg 3.67, 2 Sr 3.73
Ca4 0.8750 0.8591 0.7500  4 Ca 3.45-3.68, 2 Mg 3.67, 2 Sr 3.73
Sr1 0.7500 0.2500 0.5000  4 Mg 3.57, 4 Ca 3.73
Sr2 0.0000 0.0000 0.0000  4 Mg 3.57, 4 Ca 3.73
Mg1 0.2500 0.7500 0.5000  4 Sr 3.57, 4 Ca 3.67
Mg2 0.5000 0.5000 0.0000  4 Sr 3.57, 4 Ca 3.67

=====

The following is a DFT calculation (PBE) of a geometry-optimized TaFe5 structure.

Properties
energy relative to the elements	0.16	eV/atom
M_tot	1.34	Bohr magnetons per cell
space group	No. 8

abc: 4.9101 4.9101 6.0782
angles: 76.10 76.10 30.29
Last column: nearest neighbours and their distance in Å.
Atoms (fractional coordinates):
Fe1 0.3328 0.3328 0.3494  11 Fe 2.46-2.66, 1 Ta 2.64
Fe2 0.0073 0.0073 0.0033  9 Fe 2.50-2.66, 3 Ta 2.52-2.61
Fe3 0.6026 0.6026 0.2894  10 Fe 2.38-2.63
Fe4 0.9524 0.9524 0.5979  9 Fe 2.42-2.64, 2 Ta 2.65
Fe5 0.6583 0.6583 0.6506  9 Fe 2.38-2.60
Ta1 0.2799 0.2799 0.9426  10 Fe 2.52-2.67, 2 Ta 2.57

=====

The following is a DFT calculation (PBE) of a geometry-optimized NpCr2Tc structure.

Properties
energy relative to the elements	0.24	eV/atom
M_tot	0.08	Bohr magnetons per cell
space group	No. 123

abc: 2.9096 2.9096 7.1245
angles: 90.00 90.00 90.00
Last column: nearest neighbours and their distance in Å.
Atoms (fractional coordinates):
Np1 0.5000 0.5000 0.5000  8 Cr 2.91, 4 Np 2.91
Tc1 0.5000 0.5000 0.0000  8 Cr 2.55
Cr1 0.0000 0.0000 0.2115  4 Tc 2.55
Cr2 0.0000 0.0000 0.7885  4 Tc 2.55

=====

The following is a DFT calculation (PBE) of a geometry-optimized Y3Sc2In2 structure.

Properties
energy relative to the elements	-0.02	eV/atom
M_tot	1.37	Bohr magnetons per cell
space group	No. 10

abc: 3.2108 5.3209 11.0033
angles: 104.00 90.00 90.00
Last column: nearest neighbours and their distance in Å.
Atoms (fractional coordinates):
Y1 0.0000 0.7104 0.4208  1 Sc 2.99, 4 Y 3.15-3.21
Y2 0.0000 0.0000 0.0000  4 Sc 3.06, 2 Y 3.21
Y3 0.0000 0.2896 0.5792  1 Sc 2.99, 4 Y 3.15-3.21
Sc1 0.0000 0.4293 0.8592  3 Y 2.99-3.06, 3 Sc 3.01-3.21
Sc2 0.0000 0.5707 0.1408  3 Y 2.99-3.06, 3 Sc 3.01-3.21
In1 0.5000 0.1430 0.2853  2 In 3.21, 8 Y 3.43-3.53, 4 Sc 3.47
In2 0.5000 0.8570 0.7147  2 In 3.21, 8 Y 3.43-3.53, 4 Sc 3.47

=====

The following is a DFT calculation (PBE) of a geometry-optimized SmTh4Sc structure.

Properties
energy relative to the elements	0.05	eV/atom
M_tot	0.00	Bohr magnetons per cell
space group	No. 10

abc: 3.5628 8.6213 6.1174
angles: 89.68 90.00 90.00
Last column: nearest neighbours and their distance in Å.
Atoms (fractional coordinates):
Th1 0.0000 0.3411 0.3302  9 Th 3.45-3.58, 1 Sc 3.58, 2 Sm 3.59
Th2 0.5000 0.6725 0.1625  2 Sc 3.48, 9 Th 3.50-3.59, 1 Sm 3.51
Th3 0.5000 0.3275 0.8375  2 Sc 3.48, 9 Th 3.50-3.59, 1 Sm 3.51
Th4 0.0000 0.6589 0.6698  9 Th 3.45-3.58, 1 Sc 3.58, 2 Sm 3.59
Sm1 0.5000 0.0000 0.5000  6 Th 3.51-3.59, 4 Sc 3.54, 2 Sm 3.56
Sc1 0.0000 0.0000 0.0000  6 Th 3.48-3.58, 4 Sm 3.54, 2 Sc 3.56

=====

The following is a DFT calculation (PBE) of a geometry-optimized AlReMo2 structure.

Properties
energy relative to the elements	-0.15	eV/atom
M_tot	0.00	Bohr magnetons per cell
space group	No. 71

abc: 5.1931 5.1931 5.1931
angles: 144.67 130.84 61.98
Last column: nearest neighbours and their distance in Å.
Atoms (fractional coordinates):
Mo1 0.5074 0.5074 0.0000  2 Re 2.67, 4 Mo 2.68, 2 Al 2.78
Mo2 0.9926 0.9926 0.0000  2 Re 2.67, 4 Mo 2.68, 2 Al 2.78
Re1 0.7500 0.2500 0.5000  4 Mo 2.67, 4 Al 2.67
Al1 0.2500 0.7500 0.5000  4 Re 2.67, 4 Mo 2.78

=====

The following is a DFT calculation (PBE) of a geometry-optimized ZnPb3S structure.

Properties
ΔE to the lowest computed polymorph	84.7	meV/atom
M_tot	0.00	Bohr magnetons per cell
space group	No. 221
ΔE_f (raw)	394	meV per atom

abc: 5.3442 5.3442 5.3442
angles: 90.00 90.00 90.00
Last column: nearest neighbours and their distance in Å.
Atoms (fractional coordinates):
Pb1 0.0000 0.0000 0.5000  2 Zn 2.67
Pb2 0.0000 0.5000 0.0000  2 Zn 2.67
Pb3 0.5000 0.0000 0.0000  2 Zn 2.67
S1 0.5000 0.5000 0.5000  12 Pb 3.78
Zn1 0.0000 0.0000 0.0000  6 Pb 2.67

=====

Q: What is the M_tot in the first record?
A: 0.00 Bohr magnetons per cell

=====

Q: Among the records above, which one has the highest M_tot?
A: Y3Sc2In2